## FeSiOsF2 (PBE+U)

Data for FeSiOsF2 after structural relaxation.

The structure belongs to space group P4/mmm (No. 123); the cell edges are 3.931, 3.931 and 5.383 Å and the angles 90.00°, 90.00° and 90.00°. The distinct sites, in fractional coordinates, are Fe at (0.000, 0.000, 0.000), Si at (0.500, 0.500, 0.000), Os at (0.000, 0.000, 0.500) and F at (0.000, 0.500, 0.500).

The value obtained for the total energy is -4.955 eV per atom.